Tb2Nd4Sm5 after structural relaxation, computed with PBE.

Lattice parameters (Å, degrees): 3.5369 9.4011 12.6888 111.74 98.01 90.00
Last column: nearest neighbours and their distance in Å.
Fractional coordinates of all 11 atoms:
Sm (0.1494, 0.3514, 0.2987)  1 Tb 3.39, 2 Sm 3.54, 3 Nd 3.54-3.59
Tb (0.7301, 0.7301, 0.4602)  1 Nd 3.13, 2 Sm 3.39
Nd (0.5960, 0.5960, 0.1920)  1 Tb 3.13, 4 Nd 3.43
Nd (0.0000, 0.7031, 0.0000)  4 Sm 3.30-3.59, 6 Nd 3.43-3.54
Sm (0.8506, 0.0527, 0.7013)  1 Tb 3.39, 2 Sm 3.54, 3 Nd 3.54-3.59
Sm (0.1494, 0.9473, 0.2987)  1 Tb 3.39, 2 Sm 3.54, 3 Nd 3.54-3.59
Nd (0.0000, 0.2969, 0.0000)  4 Sm 3.30-3.59, 6 Nd 3.43-3.54
Sm (0.5000, 0.0000, 0.0000)  4 Nd 3.30, 2 Sm 3.54
Nd (0.4040, 0.4040, 0.8080)  1 Tb 3.13, 4 Nd 3.43
Tb (0.2699, 0.2699, 0.5398)  1 Nd 3.13, 2 Sm 3.39
Sm (0.8506, 0.6486, 0.7013)  1 Tb 3.39, 2 Sm 3.54, 3 Nd 3.54-3.59

## Properties
- Energy relative to the elements: 0.239 eV/atom
- Space-group type: Immm
- DOS at the Fermi energy: 1.457 states/eV/atom